# 1
VASP calculation (GGA-PBE) on a geometry-optimized La2HBrCl structure.

Geometry as CIF:
```
data_La2HBrCl
_chemical_formula_sum 'La2 H1 Br1 Cl1'
_cell_length_a 4.881
_cell_length_b 4.881
_cell_length_c 4.974
_cell_angle_alpha 90.00
_cell_angle_beta 90.00
_cell_angle_gamma 90.00
_space_group_name_H-M_alt 'P 1'
_space_group_IT_number 1
_space_group_name_Hall 'P 1'
loop_
_atom_site_label
_atom_site_fract_x
_atom_site_fract_y
_atom_site_fract_z
La1 0.000 0.500 0.000
La2 0.500 0.000 0.000
H1 0.000 0.000 0.000
Br1 0.000 0.000 0.500
Cl1 0.500 0.500 0.500
```

Properties
As for the symmetry: P4/mmm, No. 123.

=====

# 2
VASP calculation (GGA-PBE) on a geometry-optimized LiHBr2Cl structure.

Geometry as CIF:
```
data_LiHBr2Cl
_chemical_formula_sum 'Li1 H1 Br2 Cl1'
_cell_length_a 5.217
_cell_length_b 5.217
_cell_length_c 4.801
_cell_angle_alpha 90.00
_cell_angle_beta 90.00
_cell_angle_gamma 90.00
_space_group_name_H-M_alt 'P 1'
_space_group_IT_number 1
_space_group_name_Hall 'P 1'
loop_
_atom_site_label
_atom_site_fract_x
_atom_site_fract_y
_atom_site_fract_z
Li1 0.000 0.000 0.000
H1 0.500 0.500 0.500
Br1 0.000 0.500 0.000
Br2 0.500 0.000 0.000
Cl1 0.000 0.000 0.500
```

Properties
As for the symmetry: P4/mmm, No. 123.

=====

# 3
VASP calculation (GGA-PBE) on a geometry-optimized MgHBrCl2 structure.

Geometry as CIF:
```
data_MgHBrCl2
_chemical_formula_sum 'Mg1 H1 Br1 Cl2'
_cell_length_a 6.035
_cell_length_b 6.035
_cell_length_c 4.746
_cell_angle_alpha 90.00
_cell_angle_beta 90.00
_cell_angle_gamma 90.00
_space_group_name_H-M_alt 'P 1'
_space_group_IT_number 1
_space_group_name_Hall 'P 1'
loop_
_atom_site_label
_atom_site_fract_x
_atom_site_fract_y
_atom_site_fract_z
Mg1 0.000 0.000 0.000
H1 0.500 0.500 0.000
Br1 0.000 0.000 0.500
Cl1 0.000 0.500 0.500
Cl2 0.500 0.000 0.500
```

Properties
As for the symmetry: P4/mmm, No. 123.

=====

# 4
VASP calculation (GGA-PBE) on a geometry-optimized NaHBrCl structure.

Geometry as CIF:
```
data_NaHBrCl
_chemical_formula_sum 'Na1 H1 Br1 Cl1'
_cell_length_a 4.435
_cell_length_b 4.435
_cell_length_c 6.800
_cell_angle_alpha 110.64
_cell_angle_beta 110.64
_cell_angle_gamma 61.24
_space_group_name_H-M_alt 'P 1'
_space_group_IT_number 1
_space_group_name_Hall 'P 1'
loop_
_atom_site_label
_atom_site_fract_x
_atom_site_fract_y
_atom_site_fract_z
Na1 0.000 0.000 0.000
H1 0.491 0.491 0.473
Br1 0.581 0.581 0.776
Cl1 0.422 0.422 0.243
```

Properties
As for the symmetry: Cm, No. 8.

=====

Raw total energy in eV per cell, matching the order above: -21.2, -9.6, -8.8, -12.3